Below is an optimized crystal structure of SrHo2PtO5, with properties calculated at the GGA-PBE level.

Lattice parameters (Å, degrees): 5.8809 6.4940 6.4940 90.00 90.00 90.00
Sites, in units of the cell vectors:
Sr 0.0000 0.5000 0.5000
Sr 0.0000 0.0000 0.0000
Ho 0.5000 0.6743 0.1743
Ho 0.5000 0.1743 0.3257
Ho 0.5000 0.8257 0.6743
Ho 0.5000 0.3257 0.8257
Pt 0.0000 0.0000 0.5000
Pt 0.0000 0.5000 0.0000
O 0.5000 0.5000 0.5000
O 0.5000 0.0000 0.0000
O 0.2598 0.1427 0.6427
O 0.2598 0.8573 0.3573
O 0.2598 0.3573 0.1427
O 0.2598 0.6427 0.8573
O 0.7402 0.1427 0.6427
O 0.7402 0.6427 0.8573
O 0.7402 0.8573 0.3573
O 0.7402 0.3573 0.1427

E_tot = -131.5 eV per cell

---

Below is an optimized crystal structure of Sr2HoPt3O12, with properties calculated at the GGA-PBE level.

Lattice parameters (Å, degrees): 6.7658 6.7658 6.7658 64.80 64.80 64.80
Sites, in units of the cell vectors:
Sr 0.6124 0.6124 0.6124
Sr 0.3876 0.3876 0.3876
Ho 0.0000 0.0000 0.0000
Pt 0.5000 0.0000 0.0000
Pt 0.0000 0.5000 0.0000
Pt 0.0000 0.0000 0.5000
O 0.2800 0.2800 0.8606
O 0.8600 0.8600 0.4159
O 0.4159 0.8600 0.8600
O 0.8606 0.2800 0.2800
O 0.8600 0.4159 0.8600
O 0.2800 0.8606 0.2800
O 0.7200 0.7200 0.1394
O 0.1400 0.1400 0.5841
O 0.5841 0.1400 0.1400
O 0.1394 0.7200 0.7200
O 0.1400 0.5841 0.1400
O 0.7200 0.1394 0.7200

E_tot = -108.6 eV per cell

---

Below is an optimized crystal structure of SrHoPtO4, with properties calculated at the GGA-PBE level.

Lattice parameters (Å, degrees): 6.6596 6.8192 6.9435 120.60 90.00 119.23
Sites, in units of the cell vectors:
Sr 0.8552 0.7103 0.1052
Sr 0.1448 0.2897 0.8948
Ho 0.5000 0.0000 0.5000
Ho 0.5000 0.0000 0.0000
Pt 0.5000 0.5000 0.5000
Pt 0.0000 0.5000 0.5000
O 0.7373 0.4746 0.6722
O 0.2731 0.9688 0.2344
O 0.6957 0.9688 0.2344
O 0.7373 0.4746 0.3024
O 0.2627 0.5254 0.6976
O 0.7269 0.0312 0.7656
O 0.3043 0.0312 0.7656
O 0.2627 0.5254 0.3278

E_tot = -93.5 eV per cell

---

Below is an optimized crystal structure of Ho2TlPtO5, with properties calculated at the GGA-PBE level.

Lattice parameters (Å, degrees): 5.8519 6.5991 6.5991 90.00 90.00 90.00
Sites, in units of the cell vectors:
Ho 0.5000 0.6746 0.1746
Ho 0.5000 0.1746 0.3254
Ho 0.5000 0.8254 0.6746
Ho 0.5000 0.3254 0.8254
Tl 0.0000 0.5000 0.5000
Tl 0.0000 0.0000 0.0000
Pt 0.0000 0.0000 0.5000
Pt 0.0000 0.5000 0.0000
O 0.5000 0.5000 0.5000
O 0.5000 0.0000 0.0000
O 0.2691 0.1337 0.6337
O 0.2691 0.8663 0.3663
O 0.2691 0.3663 0.1337
O 0.2691 0.6337 0.8663
O 0.7309 0.1337 0.6337
O 0.7309 0.6337 0.8663
O 0.7309 0.8663 0.3663
O 0.7309 0.3663 0.1337

E_tot = -123.0 eV per cell

---

Below is an optimized crystal structure of HoTlPtO6, with properties calculated at the GGA-PBE level.

Lattice parameters (Å, degrees): 5.5955 5.5955 9.0389 90.00 90.00 120.00
Sites, in units of the cell vectors:
Ho 0.3333 0.6667 0.2500
Ho 0.6667 0.3333 0.7500
Tl 0.0000 0.0000 0.0000
Tl 0.0000 0.0000 0.5000
Pt 0.6667 0.3333 0.2500
Pt 0.3333 0.6667 0.7500
O 0.6580 0.6240 0.1277
O 0.9660 0.3420 0.1277
O 0.3420 0.9660 0.6277
O 0.0340 0.6580 0.8723
O 0.3760 0.3420 0.3723
O 0.9660 0.6240 0.3723
O 0.6240 0.9660 0.8723
O 0.6580 0.0340 0.3723
O 0.0340 0.3760 0.6277
O 0.3760 0.0340 0.1277
O 0.6240 0.6580 0.6277
O 0.3420 0.3760 0.8723

E_tot = -106.9 eV per cell

---

Below is an optimized crystal structure of Ho2PuO, with properties calculated at the GGA-PBE level.

Lattice parameters (Å, degrees): 3.0925 3.0925 8.6611 90.00 90.00 90.00
Sites, in units of the cell vectors:
Ho 0.0000 0.0000 0.8200
Ho 0.0000 0.0000 0.1800
O 0.5000 0.5000 0.0000
Pu 0.5000 0.5000 0.5000

E_tot = -31.6 eV per cell
distance to the lowest polymorph of the same formula = 0.485 eV/atom

---

Below is an optimized crystal structure of Ho2PuO, with properties calculated at the GGA-PBE level.

Lattice parameters (Å, degrees): 3.4328 3.4328 8.9193 78.90 78.90 60.00
Sites, in units of the cell vectors:
Ho 0.2791 0.2791 0.1627
Ho 0.7209 0.7209 0.8373
O 0.0000 0.0000 0.0000
Pu 0.5000 0.5000 0.5000

E_tot = -33.6 eV per cell
distance to the lowest polymorph of the same formula = 0.000 eV/atom

---

Below is an optimized crystal structure of Ho6PuO12, with properties calculated at the GGA-PBE level.

Lattice parameters (Å, degrees): 6.5277 6.5277 6.5277 98.90 98.90 98.90
Sites, in units of the cell vectors:
Ho 0.6788 0.8545 0.3894
Ho 0.6106 0.3212 0.1455
Ho 0.1455 0.6106 0.3212
Ho 0.3212 0.1455 0.6106
Ho 0.3894 0.6788 0.8545
Ho 0.8545 0.3894 0.6788
Pu 0.0000 0.0000 0.0000
O 0.8223 0.5708 0.4115
O 0.4115 0.8223 0.5708
O 0.5708 0.4115 0.8223
O 0.1777 0.4292 0.5885
O 0.5885 0.1777 0.4292
O 0.4292 0.5885 0.1777
O 0.0778 0.9541 0.3089
O 0.0459 0.6911 0.9222
O 0.6911 0.9222 0.0459
O 0.9222 0.0459 0.6911
O 0.9541 0.3089 0.0778
O 0.3089 0.0778 0.9541

E_tot = -166.6 eV per cell

---

The highest E_tot belongs to which entry?
number 6

---

Look up the E_tot of the first one.
-131.5 eV per cell

---

E_tot of number 5 (HoTlPtO6)?
-106.9 eV per cell

---

What is the E_tot in the third record?
-93.5 eV per cell